(1)
VASP calculation (GGA-PBE) on an optimized crystal structure of Zr3Zn3Cu.

Cell lengths 9.637, 9.637, 9.637 Å; angles 161.00, 154.36, 32.11 degrees
Positions (direct):
Zr 0.000 0.000 0.000
Zr 0.401 0.401 0.000
Zr 0.705 0.205 0.500
Zn 0.136 0.636 0.500
Zn 0.562 0.562 0.000
Zn 0.842 0.842 0.000
Cu 0.269 0.769 0.500

Crystal system   orthorhombic
Formation enthalpy at 0 K   -0.2018 eV/atom
Density   7.03 g/cm3
V   126.02 Å³ per cell

(2)
VASP calculation (GGA-PBE) on an optimized crystal structure of Pr2Nd8Al.

Cell lengths 9.401, 9.401, 8.135 Å; angles 110.50, 110.50, 33.96 degrees
Positions (direct):
Pr 0.190 0.190 0.155
Pr 0.810 0.810 0.845
Nd 0.019 0.019 0.277
Nd 0.175 0.175 0.723
Nd 0.337 0.337 0.578
Nd 0.405 0.405 0.080
Nd 0.595 0.595 0.920
Nd 0.663 0.663 0.422
Nd 0.825 0.825 0.277
Nd 0.981 0.981 0.723
Al 0.500 0.500 0.500

Crystal system   monoclinic
Formation enthalpy at 0 K   0.0335 eV/atom
Density   6.50 g/cm3
V   373.69 Å³ per cell

(3)
VASP calculation (GGA-PBE) on an optimized crystal structure of AgRh2Se.

Cell lengths 8.377, 8.377, 8.377 Å; angles 20.75, 20.75, 20.75 degrees
Positions (direct):
Ag 0.000 0.000 0.000
Rh 0.241 0.241 0.241
Rh 0.759 0.759 0.759
Se 0.500 0.500 0.500

Crystal system   trigonal
Uncorrected formation energy   0.12 eV per atom
Density   10.09 g/cm3
V   64.60 Å³ per cell

(4)
VASP calculation (GGA-PBE) on an optimized crystal structure of KPtW2.

Cell lengths 2.800, 2.800, 9.956 Å; angles 90.00, 90.00, 90.00 degrees
Positions (direct):
K 0.000 0.000 0.000
Pt 0.500 0.500 0.276
W 0.000 0.000 0.461
W 0.500 0.500 0.678

Crystal system   tetragonal
Formation enthalpy at 0 K   0.5496 eV/atom
Density   12.81 g/cm3
ΔE to the lowest computed polymorph   0.037 eV per atom
V   78.04 Å³ per cell

(5)
VASP calculation (GGA-PBE) on an optimized crystal structure of CeNbCo10.

Cell lengths 3.995, 4.762, 8.265 Å; angles 90.00, 90.00, 90.00 degrees
Positions (direct):
Ce 0.000 0.000 0.000
Nb 0.000 0.500 0.500
Co 0.000 0.000 0.340
Co 0.000 0.000 0.660
Co 0.000 0.500 0.175
Co 0.000 0.500 0.825
Co 0.500 0.000 0.500
Co 0.500 0.261 0.264
Co 0.500 0.261 0.736
Co 0.500 0.500 0.000
Co 0.500 0.739 0.264
Co 0.500 0.739 0.736

Crystal system   orthorhombic
Formation enthalpy at 0 K   -0.0197 eV/atom
Density   8.69 g/cm3
V   157.21 Å³ per cell

(6)
VASP calculation (GGA-PBE) on an optimized crystal structure of SrAuSe2.

Cell lengths 7.824, 7.824, 7.824 Å; angles 37.08, 37.08, 37.08 degrees
Positions (direct):
Sr 0.000 0.000 0.000
Au 0.500 0.500 0.500
Se 0.391 0.391 0.391
Se 0.609 0.609 0.609

Crystal system   trigonal
Uncorrected formation energy   -0.79 eV per atom
Density   4.71 g/cm3
ΔE to the lowest computed polymorph   0.169 eV per atom
V   156.03 Å³ per cell

(7)
VASP calculation (GGA-PBE) on an optimized crystal structure of BeBI2O.

Cell lengths 6.198, 6.198, 2.946 Å; angles 90.00, 90.00, 90.00 degrees
Positions (direct):
Be 0.000 0.000 0.000
B 0.500 0.500 0.500
I 0.000 0.500 0.000
I 0.500 0.000 0.000
O 0.000 0.000 0.500

Crystal system   tetragonal
Uncorrected formation energy   0.15 eV per atom
Density   4.25 g/cm3
ΔE to the lowest computed polymorph   0.000 eV per atom
V   113.19 Å³ per cell

(8)
VASP calculation (GGA-PBE) on an optimized crystal structure of Zr2BeTcH.

Cell lengths 4.469, 4.469, 3.618 Å; angles 90.00, 90.00, 90.00 degrees
Positions (direct):
Zr 0.000 0.500 0.000
Zr 0.500 0.000 0.000
Be 0.000 0.000 0.500
Tc 0.500 0.500 0.500
H 0.500 0.500 0.000

Crystal system   tetragonal
Density   6.68 g/cm3
ΔE to the lowest computed polymorph   0.051 eV per atom
V   72.26 Å³ per cell

(9)
VASP calculation (GGA-PBE) on an optimized crystal structure of CoCuPd2Se6.

Cell lengths 7.923, 7.923, 6.605 Å; angles 103.76, 103.76, 95.61 degrees
Positions (direct):
Co 0.076 0.924 0.750
Co 0.924 0.076 0.250
Cu 0.233 0.767 0.250
Cu 0.767 0.233 0.750
Pd 0.278 0.457 0.752
Pd 0.457 0.278 0.252
Pd 0.543 0.722 0.748
Pd 0.722 0.543 0.248
Se 0.041 0.191 0.639
Se 0.056 0.651 0.830
Se 0.191 0.041 0.139
Se 0.271 0.500 0.377
Se 0.349 0.944 0.670
Se 0.500 0.271 0.877
Se 0.500 0.729 0.123
Se 0.651 0.056 0.330
Se 0.729 0.500 0.623
Se 0.809 0.959 0.861
Se 0.944 0.349 0.170
Se 0.959 0.809 0.361

Crystal system   monoclinic
Uncorrected formation energy   -0.20 eV per atom
Density   6.96 g/cm3
V   385.86 Å³ per cell

(10)
VASP calculation (GGA-PBE) on an optimized crystal structure of Tb2YCdN.

Cell lengths 4.862, 4.862, 4.833 Å; angles 90.00, 90.00, 90.00 degrees
Positions (direct):
Tb 0.000 0.500 0.000
Tb 0.500 0.000 0.000
Y 0.000 0.000 0.500
Cd 0.500 0.500 0.500
N 0.000 0.000 0.000

Crystal system   tetragonal
Uncorrected formation energy   -0.84 eV per atom
Density   7.75 g/cm3
V   114.25 Å³ per cell

(11)
VASP calculation (GGA-PBE) on an optimized crystal structure of CsV2Tc2.

Cell lengths 8.004, 8.004, 3.014 Å; angles 90.00, 90.00, 90.00 degrees
Positions (direct):
Cs 0.000 0.000 0.000
Cs 0.500 0.500 0.000
V 0.125 0.375 0.500
V 0.375 0.875 0.500
V 0.625 0.125 0.500
V 0.875 0.625 0.500
Tc 0.129 0.629 0.000
Tc 0.371 0.129 0.000
Tc 0.629 0.871 0.000
Tc 0.871 0.371 0.000

Crystal system   tetragonal
Formation enthalpy at 0 K   0.8093 eV/atom
Density   7.41 g/cm3
ΔE to the lowest computed polymorph   0.122 eV per atom
V   193.13 Å³ per cell

(12)
VASP calculation (GGA-PBE) on an optimized crystal structure of LaTbTm2Th.

Cell lengths 3.517, 5.637, 8.693 Å; angles 90.00, 90.07, 90.00 degrees
Positions (direct):
La 0.000 0.000 0.000
Tb 0.500 0.000 0.500
Tm 0.001 0.500 0.322
Tm 0.999 0.500 0.678
Th 0.500 0.500 0.000

Crystal system   monoclinic
Formation enthalpy at 0 K   0.2868 eV/atom
Density   8.36 g/cm3
V   172.35 Å³ per cell